Crystalline SrInCo2F8 at its relaxed geometry. Source: the Alexandria database, functional GGA+U.

Values from the calculation:
Spin magnetization = 5.98 μB/f.u.
Raw total energy = -4.970 eV/atom

Cell: 4.0164 5.4017 8.2305 Å, 83.21 88.80 81.64°
Space group P-1 (No. 2)
Inequivalent atoms, fractional coordinates:
Sr1 0.0000 0.0000 0.0000 x1
In1 0.0000 0.0000 0.5000 x1
Co1 0.4292 0.4520 0.7058 x2
F1 0.0625 0.7016 0.2934 x2
F2 0.1161 0.7599 0.7574 x2
F3 0.4467 0.2551 0.9254 x2
F4 0.4490 0.2654 0.4912 x2